First-principles (GGA-PBE) data for a geometry-optimized Tb2Sm3Er6In structure, as listed in Alexandria.

Symmetry: C2/m, No. 12
Total energy in eV per atom: -4.5048
Formation enthalpy at 0 K in kJ/mol of atoms: -4

a = 6.0874 Å, b = 6.0874 Å, c = 11.6269 Å
α = 95.02°, β = 95.02°, γ = 120.01°
Fractional positions:
Tb (0.3337, 0.6663, 0.0000)
Tb (0.6663, 0.3337, 0.0000)
Sm (0.1668, 0.8332, 0.5000)
Sm (0.8332, 0.1668, 0.5000)
Sm (0.5000, 0.5000, 0.5000)
Er (0.9188, 0.5906, 0.7551)
Er (0.7532, 0.7532, 0.2458)
Er (0.0812, 0.4094, 0.2449)
Er (0.5906, 0.9188, 0.7551)
Er (0.2468, 0.2468, 0.7542)
Er (0.4094, 0.0812, 0.2449)
In (0.0000, 0.0000, 0.0000)

=====

First-principles (GGA-PBE) data for a geometry-optimized PmPrPaPb structure, as listed in Alexandria.

Symmetry: F-43m, No. 216
Total energy in eV per atom: -5.5305
Formation enthalpy at 0 K in kJ/mol of atoms: 15

a = 5.5170 Å, b = 5.5170 Å, c = 5.5170 Å
α = 60.00°, β = 60.00°, γ = 60.00°
Site moments in Bohr magnetons follow the coordinates.
Fractional positions:
Pb (0.5000, 0.5000, 0.5000)  -0.03
Pr (0.7500, 0.7500, 0.7500)  0.10
Pa (0.0000, 0.0000, 0.0000)  0.86
Pm (0.2500, 0.2500, 0.2500)  0.14

=====

First-principles (GGA-PBE) data for a geometry-optimized BaCo2TeN structure, as listed in Alexandria.

Symmetry: P4/mmm, No. 123
Total energy in eV per atom: -2.9775

a = 6.2874 Å, b = 6.5405 Å, c = 6.2874 Å
α = 90.00°, β = 90.00°, γ = 90.00°
Site moments in Bohr magnetons follow the coordinates.
Fractional positions:
Te (0.0000, 0.5000, 0.0000)  0.37
Co (0.0000, 0.0000, 0.5000)  2.33
Co (0.5000, 0.0000, 0.0000)  2.25
Ba (0.0000, 0.0000, 0.0000)  -0.01
N (0.5000, 0.5000, 0.5000)  1.90

=====

First-principles (GGA-PBE) data for a geometry-optimized BaIn2Cu structure, as listed in Alexandria.

Symmetry: P4mm, No. 99
Total energy in eV per atom: -2.9321
Formation enthalpy at 0 K in kJ/mol of atoms: -6

a = 3.7361 Å, b = 3.7344 Å, c = 7.9484 Å
α = 90.00°, β = 90.00°, γ = 90.00°
Fractional positions:
Ba (0.0000, 0.0000, 0.5182)
Cu (0.5000, 0.5000, 0.8274)
In (0.0000, 0.0000, 0.9568)
In (0.5000, 0.5000, 0.1976)